Entry 1:
Ag2BiPd8 | the Alexandria database | GGA-PBE | optimized geometry; crystal system = monoclinic; Fermi-level density of states = 11.788 states/eV per cell; energy above the most stable polymorph in this dataset = 188 meV/atom; calculated formation energy = 7.0 kJ per mole of atoms
1.0
4.095 -5.323 0.000
4.095 5.323 0.000
-0.024 0.000 4.456
Ag Bi Pd
2 1 8
direct
0.123 0.877 0.000
0.877 0.123 0.000
0.500 0.500 0.500
0.168 0.168 0.500
0.195 0.464 0.999
0.253 0.747 0.500
0.464 0.195 0.999
0.536 0.805 0.001
0.747 0.253 0.500
0.805 0.536 0.001
0.832 0.832 0.500

***

Entry 2:
Zn2CrRh | the Alexandria database | GGA-PBE | optimized geometry; crystal system = monoclinic; Fermi-level density of states = 2.939 states/eV per cell; energy above the most stable polymorph in this dataset = 150 meV/atom; calculated formation energy = 1.6 kJ per mole of atoms
1.0
2.753 0.000 0.000
0.000 4.357 0.000
-0.586 0.000 4.775
Zn Cr Rh
2 1 1
direct
0.222 0.000 0.255
0.778 0.000 0.745
0.500 0.500 0.000
0.000 0.500 0.500

***

Entry 3:
BaMoW2 | the Alexandria database | GGA-PBE | optimized geometry; crystal system = monoclinic; Fermi-level density of states = 3.681 states/eV per cell; energy above the most stable polymorph in this dataset = 32 meV/atom; calculated formation energy = 84.8 kJ per mole of atoms
1.0
3.018 0.000 0.000
0.000 4.218 0.000
-1.276 0.000 7.434
Ba Mo W
1 1 2
direct
0.000 0.000 0.000
0.900 0.500 0.346
0.301 0.500 0.649
0.609 0.000 0.496